[1]
A geometry-optimized Cd3MoCl structure. Source: the Alexandria database, functional PBE-GGA.

a = 5.5768 Å, b = 5.5768 Å, c = 5.5768 Å
α = 90.00°, β = 90.00°, γ = 90.00°
Last column: magnetic moment on the atom in μB.
Fractional positions:
Mo1 0.0000 0.0000 0.0000  3.05
Cl1 0.5000 0.5000 0.5000  0.07
Cd1 0.0000 0.5000 0.0000  0.05
Cd2 0.0000 0.0000 0.5000  0.01
Cd3 0.5000 0.0000 0.0000  0.07

Output
- Energy relative to the elements, uncorrected: 0.734 eV/atom
- DOS at the Fermi energy: 0.6631 states/eV/atom
- Space-group type: Pm-3m

[2]
A geometry-optimized CdMo2Cl structure. Source: the Alexandria database, functional PBE-GGA.

a = 4.4457 Å, b = 2.9452 Å, c = 5.7769 Å
α = 76.28°, β = 90.00°, γ = 90.00°
Fractional positions:
Cd1 0.0000 0.5588 0.5002
Cl1 0.5000 0.8767 0.8298
Mo1 0.0000 0.8390 0.9957
Mo2 0.5000 0.2256 0.1744

Output
- Energy relative to the elements, uncorrected: 0.510 eV/atom
- DOS at the Fermi energy: 1.0695 states/eV/atom
- Space-group type: Pm

[3]
A geometry-optimized CdMoCl2 structure. Source: the Alexandria database, functional PBE-GGA.

a = 3.2584 Å, b = 3.2584 Å, c = 10.3430 Å
α = 90.00°, β = 90.00°, γ = 125.07°
Last column: magnetic moment on the atom in μB.
Fractional positions:
Mo1 0.5000 0.5000 0.2500  1.07
Cl1 0.0000 0.0000 0.0630  0.02
Cl2 0.0000 0.0000 0.4370  0.02
Cd1 0.5000 0.5000 0.7500  0.00

Output
- Energy relative to the elements, uncorrected: -0.142 eV/atom
- DOS at the Fermi energy: 0.4102 states/eV/atom
- Space-group type: Cmmm

[4]
A geometry-optimized CdMo4Cl structure. Source: the Alexandria database, functional PBE-GGA.

a = 5.3654 Å, b = 5.3654 Å, c = 5.3654 Å
α = 60.00°, β = 60.00°, γ = 60.00°
Fractional positions:
Cd1 0.2500 0.2500 0.2500
Mo1 0.6299 0.6299 0.1103
Mo2 0.6299 0.1103 0.6299
Mo3 0.6299 0.6299 0.6299
Mo4 0.1103 0.6299 0.6299
Cl1 0.0000 0.0000 0.0000

Output
- Energy relative to the elements, uncorrected: 0.855 eV/atom
- DOS at the Fermi energy: 0.7528 states/eV/atom
- Space-group type: F-43m

[5]
A geometry-optimized CdMoCl2 structure. Source: the Alexandria database, functional PBE-GGA.

a = 3.0669 Å, b = 4.9832 Å, c = 7.3350 Å
α = 70.26°, β = 90.00°, γ = 90.00°
Last column: magnetic moment on the atom in μB.
Fractional positions:
Mo1 0.0000 0.2633 0.5980  0.99
Cl1 0.0000 0.0978 0.9320  0.07
Cl2 0.5000 0.4002 0.3227  0.01
Cd1 0.5000 0.7388 0.6473  0.01

Output
- Energy relative to the elements, uncorrected: -0.206 eV/atom
- DOS at the Fermi energy: 0.6482 states/eV/atom
- Space-group type: Pm

[6]
A geometry-optimized Cd3MoCl structure. Source: the Alexandria database, functional PBE-GGA.

a = 5.2744 Å, b = 5.2744 Å, c = 5.2744 Å
α = 90.00°, β = 90.00°, γ = 90.00°
Last column: magnetic moment on the atom in μB.
Fractional positions:
Mo1 0.5000 0.5000 0.5000  3.64
Cl1 0.0000 0.0000 0.0000  -0.04
Cd1 0.0000 0.5000 0.0000  -0.04
Cd2 0.0000 0.0000 0.5000  -0.05
Cd3 0.5000 0.0000 0.0000  -0.02

Output
- Energy relative to the elements, uncorrected: 1.132 eV/atom
- DOS at the Fermi energy: 0.9228 states/eV/atom
- Space-group type: Pm-3m